No. 1
Below is an optimized crystal structure of GaBi2IrF, with properties calculated at the PBE level.

Cell: 5.3584 5.3584 4.8079 Å, 90.00 90.00 90.00°
Closest atoms and distances in Å follow each position.
Element x y z (fractional)
Ga: 0.0000 0.0000 0.0000  2 Ir 2.40
Bi: 0.0000 0.5000 0.5000  2 Ir 2.68
Bi: 0.5000 0.0000 0.5000  2 Ir 2.68
Ir: 0.0000 0.0000 0.5000  2 Ga 2.40, 4 Bi 2.68
F: 0.5000 0.5000 0.0000  8 Bi 3.60, 4 Ga 3.79

formation energy (no corrections)	-0.071	eV per atom
theoretical density	8.41	Mg/m³
DOS at the Fermi energy	5.65	states/eV per cell
space group	P4/mmm, No. 123

=====

No. 2
Below is an optimized crystal structure of Na2GaBiF, with properties calculated at the PBE level.

Cell: 4.4916 4.4916 5.4023 Å, 90.00 90.00 90.00°
Closest atoms and distances in Å follow each position.
Element x y z (fractional)
Na: 0.0000 0.5000 0.0000  2 F 2.25
Na: 0.5000 0.0000 0.0000  2 F 2.25
Ga: 0.0000 0.0000 0.5000  2 F 2.70
Bi: 0.5000 0.5000 0.5000  4 Ga 3.18, 8 Na 3.51
F: 0.0000 0.0000 0.0000  4 Na 2.25

formation energy (no corrections)	-1.051	eV per atom
theoretical density	5.24	Mg/m³
DOS at the Fermi energy	0.97	states/eV per cell
space group	P4/mmm, No. 123

=====

No. 3
Below is an optimized crystal structure of GaBiO2F, with properties calculated at the PBE level.

Cell: 4.3429 4.3429 4.5777 Å, 90.00 90.00 90.00°
Closest atoms and distances in Å follow each position.
Element x y z (fractional)
Ga: 0.0000 0.0000 0.0000  4 F 3.07, 8 O 3.15
Bi: 0.5000 0.5000 0.5000  4 O 2.17, 2 F 2.29
O: 0.0000 0.5000 0.5000  2 Bi 2.17
O: 0.5000 0.0000 0.5000  2 Bi 2.17
F: 0.5000 0.5000 0.0000  2 Bi 2.29

formation energy (no corrections)	-1.036	eV per atom
theoretical density	6.34	Mg/m³
DOS at the Fermi energy	0.98	states/eV per cell
space group	P4/mmm, No. 123

=====

No. 4
Below is an optimized crystal structure of GaBiOF2, with properties calculated at the PBE level.

Cell: 4.4679 4.4679 3.6570 Å, 90.00 90.00 90.00°
Closest atoms and distances in Å follow each position.
Element x y z (fractional)
Ga: 0.0000 0.0000 0.0000  2 O 1.83
Bi: 0.5000 0.5000 0.5000  8 F 2.89, 4 O 3.16
O: 0.0000 0.0000 0.5000  2 Ga 1.83
F: 0.0000 0.5000 0.0000  2 Ga 2.23
F: 0.5000 0.0000 0.0000  2 Ga 2.23

formation energy (no corrections)	-1.391	eV per atom
theoretical density	7.57	Mg/m³
DOS at the Fermi energy	0.86	states/eV per cell
space group	P4/mmm, No. 123

=====

No. 5
Below is an optimized crystal structure of GaBiO2F, with properties calculated at the PBE level.

Cell: 3.9697 3.9697 4.0584 Å, 90.00 90.00 90.00°
Closest atoms and distances in Å follow each position.
Element x y z (fractional)
Ga: 0.0000 0.0000 0.0000  4 O 1.98, 2 F 2.03
Bi: 0.5000 0.5000 0.5000  4 F 2.81, 8 O 2.84
O: 0.0000 0.5000 0.0000  2 Ga 1.98
O: 0.5000 0.0000 0.0000  2 Ga 1.98
F: 0.0000 0.0000 0.5000  2 Ga 2.03

formation energy (no corrections)	-1.327	eV per atom
theoretical density	8.56	Mg/m³
DOS at the Fermi energy	1.43	states/eV per cell
space group	P4/mmm, No. 123

=====

No. 6
Below is an optimized crystal structure of GaBiOF2, with properties calculated at the PBE level.

Cell: 4.6518 4.6518 4.5126 Å, 90.00 90.00 90.00°
Closest atoms and distances in Å follow each position.
Element x y z (fractional)
Ga: 0.0000 0.0000 0.0000  8 F 3.24, 4 O 3.29
Bi: 0.5000 0.5000 0.5000  2 O 2.26, 4 F 2.33
O: 0.5000 0.5000 0.0000  2 Bi 2.26
F: 0.0000 0.5000 0.5000  2 Bi 2.33
F: 0.5000 0.0000 0.5000  2 Bi 2.33

formation energy (no corrections)	-1.459	eV per atom
theoretical density	5.66	Mg/m³
DOS at the Fermi energy	0.01	states/eV per cell
space group	P4/mmm, No. 123

=====

No. 7
Below is an optimized crystal structure of GaRe2BiF, with properties calculated at the PBE level.

Cell: 4.2906 4.2906 4.8151 Å, 90.00 90.00 90.00°
Closest atoms and distances in Å follow each position.
Element x y z (fractional)
Ga: 0.0000 0.0000 0.0000  2 F 2.41
Re: 0.0000 0.5000 0.5000  2 F 2.15
Re: 0.5000 0.0000 0.5000  2 F 2.15
Bi: 0.5000 0.5000 0.0000  4 Ga 3.03, 8 Re 3.22
F: 0.0000 0.0000 0.5000  4 Re 2.15

formation energy (no corrections)	1.091	eV per atom
theoretical density	12.55	Mg/m³
DOS at the Fermi energy	4.68	states/eV per cell
space group	P4/mmm, No. 123

=====

No. 8
Below is an optimized crystal structure of Ga2BiSbF, with properties calculated at the PBE level.

Cell: 5.6045 5.6045 4.3992 Å, 90.00 90.00 90.00°
Closest atoms and distances in Å follow each position.
Element x y z (fractional)
Ga: 0.0000 0.5000 0.0000  2 Bi 2.80
Ga: 0.5000 0.0000 0.0000  2 Bi 2.80
Bi: 0.0000 0.0000 0.0000  2 F 2.20
Sb: 0.5000 0.5000 0.5000  8 Ga 3.56, 4 F 3.96
F: 0.0000 0.0000 0.5000  2 Bi 2.20

formation energy (no corrections)	-0.194	eV per atom
theoretical density	5.88	Mg/m³
DOS at the Fermi energy	2.48	states/eV per cell
space group	P4/mmm, No. 123

=====

No. 9
Below is an optimized crystal structure of Sr2GaBiF, with properties calculated at the PBE level.

Cell: 6.5090 6.5090 4.6295 Å, 90.00 90.00 90.00°
Closest atoms and distances in Å follow each position.
Element x y z (fractional)
Sr: 0.0000 0.5000 0.0000  2 Bi 3.25
Sr: 0.5000 0.0000 0.0000  2 Bi 3.25
Ga: 0.0000 0.0000 0.5000  8 Sr 3.99
Bi: 0.5000 0.5000 0.0000  2 F 2.31
F: 0.5000 0.5000 0.5000  2 Bi 2.31

formation energy (no corrections)	-0.594	eV per atom
theoretical density	4.00	Mg/m³
DOS at the Fermi energy	4.41	states/eV per cell
space group	P4/mmm, No. 123

=====

No. 10
Below is an optimized crystal structure of Gd2BiF, with properties calculated at the PBE level.

Cell: 7.1293 7.1293 7.1293 Å, 33.84 33.84 33.84°
Closest atoms and distances in Å follow each position.
Element x y z (fractional)
Gd: 0.2337 0.2337 0.2337  3 F 2.75
Gd: 0.7663 0.7663 0.7663  3 F 2.75
Bi: 0.0000 0.0000 0.0000  6 Gd 3.12
F: 0.5000 0.5000 0.5000  6 Gd 2.75

formation energy (no corrections)	-1.450	eV per atom
theoretical density	9.00	Mg/m³
DOS at the Fermi energy	3.14	states/eV per cell
space group	R-3m, No. 166

=====

No. 11
Below is an optimized crystal structure of Ge2BiF6, with properties calculated at the PBE level.

Cell: 7.3205 7.3205 8.4189 Å, 121.04 121.04 62.60°
Closest atoms and distances in Å follow each position.
Element x y z (fractional)
Ge: 0.0774 0.2740 0.2425  3 F 1.89-1.97
Ge: 0.2740 0.0774 0.7425  3 F 1.89-1.97
Ge: 0.7260 0.9226 0.2575  3 F 1.89-1.97
Ge: 0.9226 0.7260 0.7575  3 F 1.89-1.97
Bi: 0.4151 0.5849 0.2500  6 F 2.38-2.63
Bi: 0.5849 0.4151 0.7500  6 F 2.38-2.63
F: 0.0453 0.7938 0.0353  1 Ge 1.89
F: 0.1407 0.5295 0.2816  1 Ge 1.96
F: 0.2062 0.9547 0.4647  1 Ge 1.89
F: 0.2115 0.5374 0.7324  1 Ge 1.97
F: 0.4626 0.7885 0.7676  1 Ge 1.97
F: 0.4705 0.8593 0.2184  1 Ge 1.96
F: 0.5295 0.1407 0.7816  1 Ge 1.96
F: 0.5374 0.2115 0.2324  1 Ge 1.97
F: 0.7885 0.4626 0.2676  1 Ge 1.97
F: 0.7938 0.0453 0.5353  1 Ge 1.89
F: 0.8593 0.4705 0.7184  1 Ge 1.96
F: 0.9547 0.2062 0.9647  1 Ge 1.89

formation energy (no corrections)	-2.009	eV per atom
theoretical density	4.87	Mg/m³
space group	C2/c, No. 15

=====

No. 12
Below is an optimized crystal structure of GeBiF5, with properties calculated at the PBE level.

Cell: 6.1713 6.1713 6.1713 Å, 106.72 88.14 138.14°
Closest atoms and distances in Å follow each position.
Element x y z (fractional)
Ge: 0.0000 0.0000 0.0000  1 F 1.85
Bi: 0.4422 0.9422 0.5000  4 F 2.16-2.21
F: 0.0606 0.3773 0.3167  1 Bi 2.16, 1 Ge 2.35
F: 0.0606 0.7438 0.6833  1 Bi 2.16, 1 Ge 2.35
F: 0.2389 0.9876 0.2514  1 Bi 2.21, 1 Ge 2.23
F: 0.4196 0.4196 0.0000  1 Ge 1.85
F: 0.7362 0.9876 0.7486  1 Bi 2.21, 1 Ge 2.23

formation energy (no corrections)	-2.175	eV per atom
theoretical density	4.34	Mg/m³
DOS at the Fermi energy	0.00	states/eV per cell
space group	Imm2, No. 44

=====

No. 13
Below is an optimized crystal structure of Ge2BiF, with properties calculated at the PBE level.

Cell: 8.3176 8.3176 8.3176 Å, 144.61 144.61 50.92°
Closest atoms and distances in Å follow each position.
Element x y z (fractional)
Ge: 0.0047 0.6250 0.8797  2 F 2.36
Ge: 0.3750 0.2547 0.3797  2 F 2.36
Ge: 0.7453 0.1250 0.1203  2 F 2.36
Ge: 0.8750 0.9953 0.6203  2 F 2.36
Bi: 0.2500 0.7500 0.5000  4 Ge 2.94
Bi: 0.5000 0.5000 0.0000  4 Ge 2.94
F: 0.0000 0.0000 0.0000  4 Ge 2.36
F: 0.7500 0.2500 0.5000  4 Ge 2.36

formation energy (no corrections)	-0.348	eV per atom
theoretical density	6.46	Mg/m³
DOS at the Fermi energy	1.04	states/eV per cell
space group	I-42d, No. 122